DFT (PBE-GGA) results for a relaxed Te3AuBr crystal.

Properties
SG ... No. 221
Offset from the most stable computed form ... 0.5193 eV per atom
Magnetization ... 0.0 μB per formula unit
Raw formation energy ... 0.4985 eV per atom

a = 5.4646 Å, b = 5.4646 Å, c = 5.4646 Å
α = 90.00°, β = 90.00°, γ = 90.00°
Element x y z (fractional)
1 Te 0.0000 0.0000 0.5000
2 Te 0.0000 0.5000 0.0000
3 Te 0.5000 0.0000 0.0000
4 Au 0.0000 0.0000 0.0000
5 Br 0.5000 0.5000 0.5000



DFT (PBE-GGA) results for a relaxed Te2AuBr crystal.

Properties
SG ... No. 141
Magnetization ... 0.0 μB per formula unit
Raw formation energy ... -0.0023 eV per atom

a = 5.9959 Å, b = 5.9959 Å, c = 12.5422 Å
α = 90.00°, β = 90.00°, γ = 90.00°
Element x y z (fractional)
1 Te 0.0000 0.2500 0.0901
2 Te 0.0000 0.2500 0.6599
3 Te 0.0000 0.7500 0.3401
4 Te 0.0000 0.7500 0.9099
5 Te 0.5000 0.2500 0.4099
6 Te 0.5000 0.2500 0.8401
7 Te 0.5000 0.7500 0.1599
8 Te 0.5000 0.7500 0.5901
9 Au 0.0000 0.2500 0.8750
10 Au 0.0000 0.7500 0.1250
11 Au 0.5000 0.2500 0.6250
12 Au 0.5000 0.7500 0.3750
13 Br 0.0000 0.2500 0.3750
14 Br 0.0000 0.7500 0.6250
15 Br 0.5000 0.2500 0.1250
16 Br 0.5000 0.7500 0.8750



DFT (PBE-GGA) results for a relaxed TeAuBr crystal.

Properties
SG ... No. 156
Magnetization ... 0.0 μB per formula unit
Raw formation energy ... 0.0248 eV per atom

a = 4.1361 Å, b = 4.1361 Å, c = 5.5693 Å
α = 90.00°, β = 90.00°, γ = 120.00°
Element x y z (fractional)
1 Te 0.0000 0.0000 0.0000
2 Au 0.6667 0.3333 0.2407
3 Br 0.3333 0.6667 0.5598



DFT (PBE-GGA) results for a relaxed TeAuBr2 crystal.

Properties
SG ... No. 65
Magnetization ... 0.0 μB per formula unit
Raw formation energy ... 0.4600 eV per atom

a = 7.6734 Å, b = 7.8446 Å, c = 3.3480 Å
α = 90.00°, β = 90.00°, γ = 90.00°
Element x y z (fractional)
1 Te 0.0000 0.0000 0.0000
2 Te 0.5000 0.5000 0.0000
3 Au 0.0000 0.5000 0.0000
4 Au 0.5000 0.0000 0.0000
5 Br 0.2500 0.2500 0.5000
6 Br 0.2500 0.7500 0.5000
7 Br 0.7500 0.2500 0.5000
8 Br 0.7500 0.7500 0.5000



DFT (PBE-GGA) results for a relaxed Te2AuBr crystal.

Properties
SG ... No. 15
Magnetization ... 0.0 μB per formula unit
Raw formation energy ... -0.1013 eV per atom

a = 8.3253 Å, b = 8.3253 Å, c = 15.1056 Å
α = 91.88°, β = 91.88°, γ = 95.97°
Element x y z (fractional)
1 Te 0.0119 0.9881 0.7500
2 Te 0.0506 0.1646 0.9760
3 Te 0.0725 0.5260 0.2470
4 Te 0.1646 0.0506 0.4760
5 Te 0.2678 0.5687 0.4409
6 Te 0.4256 0.5744 0.2500
7 Te 0.4313 0.7322 0.0591
8 Te 0.4740 0.9275 0.2530
9 Te 0.5260 0.0725 0.7470
10 Te 0.5687 0.2678 0.9409
11 Te 0.5744 0.4256 0.7500
12 Te 0.7322 0.4313 0.5591
13 Te 0.8354 0.9494 0.5240
14 Te 0.9275 0.4740 0.7530
15 Te 0.9494 0.8354 0.0240
16 Te 0.9881 0.0119 0.2500
17 Au 0.1080 0.2839 0.3586
18 Au 0.1091 0.7940 0.3589
19 Au 0.2060 0.8909 0.1411
20 Au 0.2839 0.1080 0.8586
21 Au 0.7161 0.8920 0.1414
22 Au 0.7940 0.1091 0.8589
23 Au 0.8909 0.2060 0.6411
24 Au 0.8920 0.7161 0.6414
25 Br 0.2150 0.5344 0.9380
26 Br 0.2604 0.3876 0.6483
27 Br 0.3876 0.2604 0.1483
28 Br 0.4656 0.7850 0.5619
29 Br 0.5344 0.2150 0.4380
30 Br 0.6124 0.7396 0.8517
31 Br 0.7396 0.6124 0.3517
32 Br 0.7850 0.4656 0.0620



DFT (PBE-GGA) results for a relaxed Te2AuBr crystal.

Properties
SG ... No. 123
Magnetization ... 0.0 μB per formula unit
Raw formation energy ... 0.2634 eV per atom

a = 4.1268 Å, b = 4.1268 Å, c = 8.1948 Å
α = 90.00°, β = 90.00°, γ = 90.00°
Element x y z (fractional)
1 Te 0.0000 0.5000 0.0000
2 Te 0.5000 0.0000 0.0000
3 Au 0.0000 0.0000 0.5000
4 Br 0.5000 0.5000 0.5000